DFT (GGA-PBE) results for a geometry-optimized Sr3InAs3 structure.

a = 4.479 Å, b = 13.202 Å, c = 14.313 Å
α = 90.00°, β = 90.00°, γ = 90.00°
Sites, in units of the cell vectors:
Sr 0.750 0.726 0.791
Sr 0.250 0.774 0.291
Sr 0.250 0.274 0.209
Sr 0.750 0.226 0.709
Sr 0.750 0.145 0.996
Sr 0.250 0.355 0.496
Sr 0.250 0.855 0.004
Sr 0.750 0.645 0.504
Sr 0.750 0.931 0.607
Sr 0.250 0.569 0.107
Sr 0.250 0.069 0.393
Sr 0.750 0.431 0.893
In 0.750 0.945 0.202
In 0.250 0.555 0.702
In 0.250 0.055 0.798
In 0.750 0.445 0.298
As 0.750 0.952 0.857
As 0.250 0.548 0.357
As 0.250 0.048 0.143
As 0.750 0.452 0.643
As 0.750 0.900 0.387
As 0.250 0.600 0.887
As 0.250 0.100 0.613
As 0.750 0.400 0.113
As 0.750 0.753 0.126
As 0.250 0.747 0.626
As 0.250 0.247 0.874
As 0.750 0.253 0.374

Final energy ... -4.10 eV/atom
V ... 30.225 Å³/atom
Space-group type ... Pnma (62)